No. 1
Crystalline LiMo4Se at its relaxed geometry, computed with PBE.

## Properties
The density of states at the Fermi level is 7.63 states/eV/cell. For the size of the total moment, the calculation gives 0.00 μB per formula unit. The formation energy from raw total energies comes out at 0.65 eV per atom.

```
6
Lattice="2.299 -2.879 3.790 -1.369 0.709 5.055 -2.766 -3.722 2.536" Properties=species:S:1:pos:R:3 pbc="T T T"
Li 0.000 0.000 0.000
Mo 0.245 -1.812 5.847
Mo -0.460 -4.047 4.576
Mo -1.150 -3.689 7.126
Mo -2.310 -2.237 5.214
Se -0.459 -1.473 2.845
```

=====

No. 2
Crystalline LiMoSe2 at its relaxed geometry, computed with PBE.

## Properties
The density of states at the Fermi level is 3.27 states/eV/cell. For the size of the total moment, the calculation gives 0.29 μB per formula unit. The formation energy from raw total energies comes out at -0.51 eV per atom.

```
4
Lattice="-3.611 5.753 1.046 -5.868 2.046 2.935 5.918 -3.495 0.022" Properties=species:S:1:pos:R:3 pbc="T T T"
Li -5.071 4.173 2.130
Mo -1.716 3.490 1.739
Se -9.012 7.416 3.785
Se -1.981 0.926 2.320
```

=====

No. 3
Crystalline LiMo3Se at its relaxed geometry, computed with PBE.

## Properties
The density of states at the Fermi level is 8.14 states/eV/cell. As for the offset from the most stable computed form: 0.0 meV/atom. For the size of the total moment, the calculation gives 0.00 μB per formula unit. The formation energy from raw total energies comes out at 1.18 eV per atom.

```
5
Lattice="4.643 0.000 0.000 0.000 4.643 0.000 0.000 0.000 4.643" Properties=species:S:1:pos:R:3 pbc="T T T"
Mo 0.000 2.322 0.000
Mo 0.000 0.000 2.322
Mo 2.322 0.000 0.000
Se 0.000 0.000 0.000
Li 2.322 2.322 2.322
```

=====

No. 4
Crystalline LiMoSe2 at its relaxed geometry, computed with PBE.

## Properties
The density of states at the Fermi level is 2.78 states/eV/cell. For the size of the total moment, the calculation gives 0.06 μB per formula unit. The formation energy from raw total energies comes out at -0.07 eV per atom.

```
4
Lattice="-8.676 2.972 -4.876 -9.329 -0.006 -4.567 -9.944 1.943 -2.284" Properties=species:S:1:pos:R:3 pbc="T T T"
Li -13.934 2.447 -5.847
Mo -20.910 3.673 -8.773
Se -0.691 0.121 -0.290
Se -6.388 1.122 -2.680
```

=====

No. 5
Crystalline LiMoSe2 at its relaxed geometry, computed with PBE.

## Properties
The density of states at the Fermi level is 4.34 states/eV/cell. For the size of the total moment, the calculation gives 0.33 μB per formula unit. The formation energy from raw total energies comes out at 0.09 eV per atom.

```
4
Lattice="1.756 0.000 8.794 -0.878 1.521 8.794 -0.878 -1.521 8.794" Properties=species:S:1:pos:R:3 pbc="T T T"
Mo 0.000 0.000 0.000
Se 0.000 0.000 23.895
Se 0.000 0.000 2.486
Li 0.000 0.000 13.190
```

=====

No. 6
Crystalline LiMoSe at its relaxed geometry, computed with PBE.

## Properties
The density of states at the Fermi level is 3.45 states/eV/cell. As for the offset from the most stable computed form: 492.3 meV/atom. For the size of the total moment, the calculation gives 0.70 μB per formula unit. The formation energy from raw total energies comes out at 0.42 eV per atom.

```
3
Lattice="4.196 0.000 0.000 2.098 3.634 0.000 2.098 1.211 3.426" Properties=species:S:1:pos:R:3 pbc="T T T"
Li 4.196 2.423 1.713
Mo 6.294 3.634 2.570
Se 0.000 0.000 0.000
```

=====

No. 7
Crystalline LiMoSe2 at its relaxed geometry, computed with PBE.

## Properties
The density of states at the Fermi level is 1.16 states/eV/cell. For the size of the total moment, the calculation gives 3.00 μB per formula unit. The formation energy from raw total energies comes out at 0.46 eV per atom.

```
4
Lattice="4.703 0.000 0.000 2.352 4.073 0.000 2.352 1.358 3.840" Properties=species:S:1:pos:R:3 pbc="T T T"
Li 4.703 2.715 1.920
Mo 7.055 4.073 2.880
Se 0.000 0.000 0.000
Se 2.352 1.358 0.960
```

=====

No. 8
Crystalline Li2MoSe2 at its relaxed geometry, computed with PBE.

## Properties
The density of states at the Fermi level is 5.87 states/eV/cell. As for the offset from the most stable computed form: 0.0 meV/atom. For the size of the total moment, the calculation gives 1.49 μB per formula unit. The formation energy from raw total energies comes out at -0.18 eV per atom.

```
10
Lattice="-0.337 1.541 -6.688 -6.154 -3.032 -0.388 -1.432 2.813 0.720" Properties=species:S:1:pos:R:3 pbc="T T T"
Mo 0.000 0.000 0.000
Mo -3.245 -0.746 -3.538
Se -5.039 -0.396 -1.193
Se -5.921 0.023 -4.581
Se -2.884 1.717 -5.163
Se -2.001 1.299 -1.774
Li -5.566 -2.088 -2.908
Li -4.092 -0.508 -6.148
Li -0.925 0.596 -4.168
Li -2.399 -0.983 -0.928
```